Record 1
Below is BaMoN2 after structural relaxation, with properties calculated at the PBE level.

Cell and atoms, written as POSCAR:
```
BaMoN2
1.0
5.360 0.000 0.000
0.000 5.360 0.000
0.000 0.000 10.454
Ba Mo N
4 4 8
direct
0.000 0.000 0.000 Ba
0.000 0.500 0.250 Ba
0.500 0.000 0.750 Ba
0.500 0.500 0.500 Ba
0.000 0.000 0.500 Mo
0.000 0.500 0.750 Mo
0.500 0.000 0.250 Mo
0.500 0.500 0.000 Mo
0.097 0.250 0.625 N
0.250 0.597 0.875 N
0.250 0.903 0.375 N
0.403 0.250 0.125 N
0.597 0.750 0.125 N
0.750 0.097 0.375 N
0.750 0.403 0.875 N
0.903 0.750 0.625 N
```

Summary:
- Space-group type: I-42d
- E_form (uncorrected): -0.49 eV/atom


Record 2
Below is K2BaSr after structural relaxation, with properties calculated at the PBE level.

Cell and atoms, written as POSCAR:
```
K2BaSr
1.0
4.677 0.000 0.000
0.000 7.331 0.000
0.000 0.000 7.594
K Ba Sr
2 1 1
direct
0.000 0.000 0.000 K
0.500 0.500 0.000 K
0.000 0.500 0.500 Ba
0.500 0.000 0.500 Sr
```

Summary:
- Space-group type: Pmmm
- Raw total energy: -1.350 eV/atom


Record 3
Below is Nd6AsP2I3 after structural relaxation, with properties calculated at the PBE level.

Cell and atoms, written as POSCAR:
```
Nd6AsP2I3
1.0
3.696 -6.403 0.000
3.696 6.403 0.000
-2.464 0.000 7.667
Nd As P I
6 1 2 3
direct
0.095 0.437 0.810 Nd
0.221 0.221 0.189 Nd
0.437 0.095 0.810 Nd
0.563 0.905 0.190 Nd
0.779 0.779 0.811 Nd
0.905 0.563 0.190 Nd
0.500 0.500 0.000 As
0.167 0.833 0.000 P
0.833 0.167 0.000 P
0.000 0.000 0.500 I
0.335 0.665 0.500 I
0.665 0.335 0.500 I
```

Summary:
- Space-group type: C2/m
- E_form (uncorrected): -1.35 eV/atom


Calculated spin magnetization (Bohr magnetons per cell), listed in the same order as above: 0.00; 0.00; 0.00
Calculated N(E_F) (states/eV per cell), listed in the same order as above: 11.261; 4.459; 5.359